1.
! CaTbPm6Y2 | Alexandria | PBE | relaxed; values from VASP
&SYSTEM
  ibrav = 0, nat = 20, ntyp = 4
/
ATOMIC_SPECIES
Pm 145.00 Pm.upf
Ca 40.08 Ca.upf
Y 88.91 Y.upf
Tb 158.93 Tb.upf
CELL_PARAMETERS angstrom
-6.664 -4.689 -5.484
-2.754 -3.772 7.704
-3.100 8.193 -2.105
ATOMIC_POSITIONS angstrom
Pm -8.216 -1.049 -3.663
Pm -9.481 -5.848 1.140
Pm -7.712 1.057 -1.113
Pm -6.145 -4.545 2.611
Pm -2.833 -2.754 3.352
Pm -6.167 -1.650 4.817
Pm -9.686 2.486 -3.238
Pm -3.038 5.579 -1.025
Pm -6.353 1.382 -4.702
Pm -4.807 -1.325 1.227
Pm -4.304 0.780 3.778
Pm -6.374 4.277 -2.496
Ca -4.627 2.201 0.474
Ca -7.892 -2.470 -0.360
Y -5.102 -0.864 -2.066
Y -1.736 0.312 1.634
Y -7.418 0.596 2.181
Y -10.784 -0.580 -1.519
Tb -8.089 4.335 -5.939
Tb -4.430 -4.604 6.054
! Energy of formation from the pure elements = 0.139 eV/atom
! Space-group type = C2/c
! Volume = 695 Å³ per cell
! N(E_F) = 31.10 states/eV per cell
! Calculated total energy = -4.67 eV/atom

2.
! PmCu2PdO4 | Alexandria | PBE | relaxed; values from VASP
&SYSTEM
  ibrav = 0, nat = 8, ntyp = 4
/
ATOMIC_SPECIES
O 16.00 O.upf
Cu 63.55 Cu.upf
Pm 145.00 Pm.upf
Pd 106.42 Pd.upf
CELL_PARAMETERS angstrom
5.565 0.000 0.000
2.783 4.137 -0.450
2.783 0.011 4.162
ATOMIC_POSITIONS angstrom
O 4.171 0.010 2.080
O 6.959 2.068 -0.221
O 6.959 2.080 3.932
O 4.171 4.138 1.631
Cu 5.565 3.105 0.704
Cu 5.565 1.043 3.007
Pm 0.000 0.000 0.000
Pd 2.783 2.074 1.856
! Space-group type = I-42m
! Volume = 96 Å³ per cell
! N(E_F) = 3.79 states/eV per cell
! Calculated total energy = -5.92 eV/atom
! Formation energy without anion corrections = -1179 meV per atom

3.
! TbScPb | Alexandria | PBE | relaxed; values from VASP
&SYSTEM
  ibrav = 0, nat = 3, ntyp = 3
/
ATOMIC_SPECIES
Tb 158.93 Tb.upf
Sc 44.96 Sc.upf
Pb 207.20 Pb.upf
CELL_PARAMETERS angstrom
-2.941 0.441 2.436
1.559 -2.609 2.354
3.442 5.074 0.205
ATOMIC_POSITIONS angstrom
Tb 1.771 2.488 4.722
Sc 0.027 -0.042 3.074
Pb 1.496 2.170 1.414
! Energy of formation from the pure elements = -0.252 eV/atom
! Space-group type = I4mm
! Volume = 81 Å³ per cell
! N(E_F) = 2.52 states/eV per cell
! Calculated total energy = -5.14 eV/atom
! Energy relative to the lowest polymorph listed for this composition = 204 meV per atom

4.
! YTlPb | Alexandria | PBE | relaxed; values from VASP
&SYSTEM
  ibrav = 0, nat = 6, ntyp = 3
/
ATOMIC_SPECIES
Y 88.91 Y.upf
Tl 204.38 Tl.upf
Pb 207.20 Pb.upf
CELL_PARAMETERS angstrom
4.978 0.000 0.000
2.489 4.314 0.044
2.489 1.367 8.790
ATOMIC_POSITIONS angstrom
Y 4.978 2.858 2.446
Y 4.978 2.824 6.388
Tl 7.467 4.246 8.029
Tl 2.489 1.435 0.805
Pb 2.489 1.399 5.058
Pb 7.467 4.282 3.776
! Energy of formation from the pure elements = -0.115 eV/atom
! Space-group type = C2/m
! Volume = 188 Å³ per cell
! N(E_F) = 1.98 states/eV per cell
! Calculated total energy = -4.29 eV/atom
! Energy relative to the lowest polymorph listed for this composition = 215 meV per atom